## KSiRu (PBE-GGA)

Data for KSiRu after structural relaxation.

Output
Volume: 25.514 Å³ per atom
Energy: -9.33 eV per formula unit

Lattice parameters (Å, degrees): 4.7658 4.7658 4.7658 60.00 60.00 60.00
Last column: nearest neighbours and their distance in Å.
Fractional coordinates of all 3 atoms:
K (0.7500, 0.7500, 0.7500)  4 Si 2.92, 4 Ru 2.92
Ru (0.0000, 0.0000, 0.0000)  4 K 2.92
Si (0.5000, 0.5000, 0.5000)  4 K 2.92

=====

## KSi2Ru (PBE-GGA)

Data for KSi2Ru after structural relaxation.

Output
Volume: 17.163 Å³ per atom
Energy: -17.34 eV per formula unit

Lattice parameters (Å, degrees): 4.5986 4.5986 4.5986 120.11 120.11 89.82
Last column: nearest neighbours and their distance in Å.
Fractional coordinates of all 4 atoms:
K (0.5000, 0.5000, 0.0000)  4 Ru 2.81, 4 Si 2.81
Ru (0.7500, 0.2500, 0.5000)  4 K 2.81, 4 Si 2.81
Si (0.0000, 0.0000, 0.0000)  4 Si 2.81, 4 Ru 2.81
Si (0.2500, 0.7500, 0.5000)  4 K 2.81, 4 Si 2.81

=====

We obtain relative energy among the computed polymorphs values of 2070.6; 1071.3 meV per atom for the records listed above, in that order.
We obtain DOS at the Fermi energy values of 9.68; 3.19 states/eV/f.u. for the records listed above, in that order.